[1]
Compound: Dy8Y3Er2
Source: the Alexandria database
Functional: PBE
Structure: relaxed

Cell and atoms, written as POSCAR:
```
Dy8Y3Er2
1.0
5.5541 0.0000 0.7675
0.0002 7.6187 -0.0014
-1.3775 -3.8113 9.9605
Dy Y Er
8 3 2
Direct
0.9999 0.8660 0.7320
0.9997 0.3311 0.6624
0.4998 0.1803 0.7818
0.5002 0.3984 0.2180
0.0001 0.1340 0.2680
0.0003 0.6689 0.3376
0.5002 0.8197 0.2182
0.4998 0.6016 0.7820
0.0000 0.2849 0.0000
0.5000 0.0000 0.0000
0.0000 0.7151 0.0000
0.5002 0.7583 0.5171
0.4998 0.2417 0.4829
```

The density of states at the Fermi level is 1.630 states/eV/atom. The energy is -4.791 eV/atom. As for the energy relative to the elements: 0.235 eV/atom. As for the space group: No. 65.

=====

[2]
Compound: TeAsIr2
Source: the Alexandria database
Functional: PBE
Structure: relaxed

Cell and atoms, written as POSCAR:
```
TeAsIr2
1.0
3.9429 0.0026 0.0007
1.9724 3.4136 0.0010
1.9689 1.1378 5.6530
Ir As Te
2 1 1
Direct
0.0266 0.0267 0.9191
0.4734 0.4733 0.5809
0.7500 0.7500 0.7500
0.2500 0.2500 0.2500
```

The density of states at the Fermi level is 0.588 states/eV/atom. As for the formation energy from raw total energies: 0.154 eV per atom. The energy is -6.224 eV/atom. The value obtained for the excess energy over the best structure of this formula in the dataset is 1.14 eV/f.u. As for the space group: No. 166.

=====

[3]
Compound: Zn2CuBr
Source: the Alexandria database
Functional: PBE
Structure: relaxed

Cell and atoms, written as POSCAR:
```
Zn2CuBr
1.0
0.0000 3.3919 3.3919
3.3919 0.0000 3.3919
3.3919 3.3919 0.0000
Zn Br Cu
2 1 1
Direct
0.7500 0.7500 0.7500
0.2500 0.2500 0.2500
0.5000 0.5000 0.5000
0.0000 0.0000 0.0000
```

The density of states at the Fermi level is 0.501 states/eV/atom. As for the formation energy from raw total energies: 0.533 eV per atom. The energy is -1.546 eV/atom. The value obtained for the excess energy over the best structure of this formula in the dataset is 2.32 eV/f.u. As for the space group: No. 225.

=====

[4]
Compound: TlOsBr
Source: the Alexandria database
Functional: PBE
Structure: relaxed

Cell and atoms, written as POSCAR:
```
TlOsBr
1.0
4.6134 0.0000 0.0000
2.3067 3.9954 0.0000
2.3067 1.3318 3.7669
Tl Br Os
1 1 1
Direct
0.0000 0.0000 0.0000
0.5000 0.5000 0.5000
0.7500 0.7500 0.7500
```

The density of states at the Fermi level is 1.563 states/eV/atom. As for the formation energy from raw total energies: 1.206 eV per atom. The energy is -3.884 eV/atom. The value obtained for the excess energy over the best structure of this formula in the dataset is 0.74 eV/f.u. As for the space group: No. 216.

=====

[5]
Compound: Dy3Co6Ge5
Source: the Alexandria database
Functional: PBE
Structure: relaxed

Cell and atoms, written as POSCAR:
```
Dy3Co6Ge5
1.0
3.9283 0.0000 0.0000
0.0000 9.4630 0.0000
0.0000 0.0000 11.9507
Ge Co Dy
10 12 6
Direct
0.0000 0.8529 0.6710
0.5000 0.1471 0.8290
0.0000 0.5134 0.1209
0.5000 0.1471 0.1710
0.5000 0.4866 0.6209
0.0000 0.8780 0.0000
0.0000 0.8529 0.3290
0.0000 0.5134 0.8791
0.5000 0.4866 0.3791
0.5000 0.1220 0.5000
0.5000 0.4956 0.0000
0.5000 0.4033 0.1955
0.0000 0.0060 0.1693
0.0000 0.5967 0.3045
0.5000 0.9940 0.3307
0.0000 0.5967 0.6955
0.5000 0.4033 0.8045
0.5000 0.9940 0.6693
0.0000 0.5044 0.5000
0.5000 0.0129 0.0000
0.0000 0.0060 0.8307
0.0000 0.9871 0.5000
0.0000 0.2539 0.3355
0.0000 0.2473 0.0000
0.5000 0.7461 0.8355
0.5000 0.7461 0.1645
0.5000 0.7527 0.5000
0.0000 0.2539 0.6645
```

The density of states at the Fermi level is 0.612 states/eV/atom. The energy is -6.242 eV/atom. As for the energy relative to the elements: -0.562 eV/atom. As for the space group: No. 59.

=====

[6]
Compound: LaCu3Ni
Source: the Alexandria database
Functional: PBE
Structure: relaxed

Cell and atoms, written as POSCAR:
```
LaCu3Ni
1.0
4.8863 0.0000 0.0000
0.0000 5.6999 0.0000
0.0000 -2.8500 5.8795
Cu La Ni
6 2 2
Direct
0.7500 0.1912 0.3825
0.2500 0.9363 0.3007
0.7500 0.6355 0.6993
0.2500 0.3645 0.3007
0.7500 0.0637 0.6993
0.2500 0.8088 0.6175
0.2500 0.3925 0.7850
0.7500 0.6075 0.2150
0.0000 0.0000 0.0000
0.5000 0.0000 0.0000
```

The density of states at the Fermi level is 0.783 states/eV/atom. The energy is -4.725 eV/atom. As for the energy relative to the elements: -0.126 eV/atom. The value obtained for the excess energy over the best structure of this formula in the dataset is 0.00 eV/f.u. As for the space group: No. 63.

=====

[7]
Compound: CsCdBi2Br8
Source: the Alexandria database
Functional: PBE
Structure: relaxed

Cell and atoms, written as POSCAR:
```
CsCdBi2Br8
1.0
-3.6744 5.6505 -3.7923
-6.6183 2.8640 2.7940
1.2495 9.0494 4.3871
Br Cd Cs Bi
8 1 1 2
Direct
0.8966 0.6368 0.1607
0.8112 0.8112 0.5665
0.6368 0.3058 0.1607
0.6942 0.1034 0.8393
0.1888 0.1888 0.4335
0.3058 0.8966 0.1607
0.1034 0.3632 0.8393
0.3632 0.6942 0.8393
0.0000 0.0000 0.0000
0.5000 0.5000 0.5000
0.7131 0.7131 0.8608
0.2869 0.2869 0.1392
```

The density of states at the Fermi level is 0.492 states/eV/atom. As for the formation energy from raw total energies: -0.791 eV per atom. The energy is -2.701 eV/atom. As for the space group: No. 148.

=====

[8]
Compound: Zn2GaF8
Source: the Alexandria database
Functional: PBE
Structure: relaxed

Cell and atoms, written as POSCAR:
```
Zn2GaF8
1.0
-1.5470 0.5615 -4.6975
-4.4642 0.5003 3.0310
0.1849 5.0171 2.0398
F Zn Ga
8 2 1
Direct
0.2778 0.9317 0.3213
0.2867 0.4211 0.4211
0.7222 0.6787 0.0683
0.8335 0.1700 0.1700
0.1665 0.8300 0.8300
0.7133 0.5789 0.5789
0.2778 0.3213 0.9317
0.7222 0.0683 0.6787
0.4137 0.6921 0.6921
0.5863 0.3079 0.3079
0.0000 0.0000 0.0000
```

As for the formation energy from raw total energies: -2.117 eV per atom. The energy is -3.984 eV/atom. The value obtained for the excess energy over the best structure of this formula in the dataset is 0.10 eV/f.u. As for the space group: No. 12.